No. 1
The following is a DFT calculation (PBEsol) of a relaxed AlPOs2 crystal.

Structure (POSCAR):
```
AlPOs2
1.0
6.970 0.000 0.000
-3.485 3.946 1.669
0.000 3.644 5.942
Os P Al
4 2 2
direct
0.049 0.750 0.875
0.701 0.750 0.375
0.875 0.250 0.701
0.375 0.250 0.049
0.750 0.500 0.750
0.000 0.000 0.000
0.250 0.500 0.250
0.500 0.000 0.500
```

Polymorph energy (0 for the lowest one)   0.4187 eV/atom

No. 2
The following is a DFT calculation (PBEsol) of a relaxed AlPOs2 crystal.

Structure (POSCAR):
```
AlPOs2
1.0
2.846 0.005 0.008
-1.411 4.651 -0.014
-1.411 -2.063 4.168
P Al Os
1 1 2
direct
0.500 0.000 0.000
0.500 0.500 0.500
0.000 0.000 0.500
0.000 0.500 0.000
```

Polymorph energy (0 for the lowest one)   0.4080 eV/atom

No. 3
The following is a DFT calculation (PBEsol) of a relaxed AlP2Os crystal.

Structure (POSCAR):
```
AlP2Os
1.0
-2.385 -0.299 -1.584
2.244 -1.643 -3.070
-0.682 -3.894 4.380
P Os Al
2 1 1
direct
0.682 0.682 0.364
0.318 0.318 0.636
0.000 0.500 0.000
0.500 0.000 0.000
```

No. 4
The following is a DFT calculation (PBEsol) of a relaxed AlPOs3 crystal.

Structure (POSCAR):
```
AlPOs3
1.0
-0.547 -2.949 -3.200
0.089 -3.232 2.963
-4.350 0.305 0.463
Al P Os
1 1 3
direct
0.000 0.000 0.000
0.500 0.500 0.500
0.500 0.000 0.000
0.000 0.000 0.500
0.000 0.500 0.000
```

No. 5
The following is a DFT calculation (PBEsol) of a relaxed AlPOs2 crystal.

Structure (POSCAR):
```
AlPOs2
1.0
-2.670 0.282 -1.523
-0.323 -3.070 -0.003
-2.753 0.286 4.879
Os Al P
2 1 1
direct
0.500 0.500 0.303
0.000 0.000 0.947
0.500 0.500 0.754
0.000 0.000 0.496
```

Polymorph energy (0 for the lowest one)   0.1468 eV/atom

No. 6
The following is a DFT calculation (PBEsol) of a relaxed AlP2Os crystal.

Structure (POSCAR):
```
AlP2Os
1.0
-3.970 -1.353 -0.717
-1.624 -3.164 2.336
-3.067 0.807 2.836
P Al Os
2 1 1
direct
0.000 0.000 0.000
0.750 0.750 0.750
0.500 0.500 0.500
0.250 0.250 0.250
```

no.,size of the total moment (μB per formula unit),E_form (eV per formula unit)
1,0.0,0.8
2,0.0,0.7
3,0.0,0.1
4,0.0,10.4
5,0.0,-0.3
6,0.0,1.4